No. 1
Computed, not measured: a geometry-optimized ZnP2RhBr structure at the PBE level of DFT.

```
ZnP2RhBr
1.0
4.4895 0.0000 0.0000
0.0000 4.4895 0.0000
0.0000 0.0000 5.0648
Zn P Rh Br
1 2 1 1
Direct
0.0000 0.0000 0.0000
0.0000 0.5000 0.0000
0.5000 0.0000 0.0000
0.0000 0.0000 0.5000
0.5000 0.5000 0.5000
```

Values from the calculation:
density of states at the Fermi level: 4.7 states/eV/f.u.
formation energy without anion corrections: 5.244 eV per formula unit
crystal system: tetragonal

=====

No. 2
Computed, not measured: a geometry-optimized PRuBr2 structure at the PBE level of DFT.

```
PRuBr2
1.0
-1.5884 1.8848 7.7911
1.5884 -1.8848 7.7911
1.5884 1.8848 -7.7911
P Ru Br
1 1 2
Direct
0.0000 0.0000 0.0000
0.5000 0.5000 0.0000
0.3541 0.8541 0.5000
0.6459 0.1459 0.5000
```

Values from the calculation:
offset from the most stable computed form: 506 meV/atom
density of states at the Fermi level: 2.8 states/eV/f.u.
formation energy without anion corrections: 1.066 eV per formula unit
crystal system: orthorhombic

=====

No. 3
Computed, not measured: a geometry-optimized P2RuBr structure at the PBE level of DFT.

```
P2RuBr
1.0
0.0000 3.1541 3.1541
3.1541 0.0000 3.1541
3.1541 3.1541 0.0000
P Ru Br
2 1 1
Direct
0.0000 0.0000 0.0000
0.2500 0.2500 0.2500
0.7500 0.7500 0.7500
0.5000 0.5000 0.5000
```

Values from the calculation:
offset from the most stable computed form: 925 meV/atom
density of states at the Fermi level: 2.8 states/eV/f.u.
formation energy without anion corrections: 3.301 eV per formula unit
crystal system: cubic

=====

No. 4
Computed, not measured: a geometry-optimized P2RuBr structure at the PBE level of DFT.

```
P2RuBr
1.0
-3.0403 3.0403 5.2620
3.0403 -3.0403 5.2620
3.0403 3.0403 -5.2620
P Ru Br
4 2 2
Direct
0.0211 0.6250 0.8961
0.3750 0.2711 0.3961
0.7289 0.1250 0.1039
0.8750 0.9789 0.6039
0.0000 0.0000 0.0000
0.7500 0.2500 0.5000
0.2500 0.7500 0.5000
0.5000 0.5000 0.0000
```

Values from the calculation:
offset from the most stable computed form: 259 meV/atom
density of states at the Fermi level: 1.8 states/eV/f.u.
formation energy without anion corrections: 0.635 eV per formula unit
crystal system: tetragonal

=====

No. 5
Computed, not measured: a geometry-optimized P2RuBr structure at the PBE level of DFT.

```
P2RuBr
1.0
3.0780 0.0000 0.0000
0.0000 4.3429 0.0000
0.0000 0.0000 4.7110
P Ru Br
2 1 1
Direct
0.0000 0.0000 0.0000
0.5000 0.5000 0.0000
0.0000 0.5000 0.5000
0.5000 0.0000 0.5000
```

Values from the calculation:
offset from the most stable computed form: 938 meV/atom
density of states at the Fermi level: 2.4 states/eV/f.u.
formation energy without anion corrections: 3.352 eV per formula unit
crystal system: orthorhombic

=====

No. 6
Computed, not measured: a geometry-optimized P2RuBr structure at the PBE level of DFT.

```
P2RuBr
1.0
-2.5301 2.5301 2.5658
2.5301 -2.5301 2.5658
2.5301 2.5301 -2.5658
P Ru Br
2 1 1
Direct
0.0000 0.5000 0.5000
0.5000 0.0000 0.5000
0.0000 0.0000 0.0000
0.5000 0.5000 0.0000
```

Values from the calculation:
offset from the most stable computed form: 642 meV/atom
density of states at the Fermi level: 2.8 states/eV/f.u.
formation energy without anion corrections: 2.168 eV per formula unit
crystal system: tetragonal

=====

No. 7
Computed, not measured: a geometry-optimized PRuBr2 structure at the PBE level of DFT.

```
PRuBr2
1.0
1.5433 -2.8924 0.0000
1.5433 2.8924 0.0000
0.0000 0.0000 9.0945
P Ru Br
1 1 2
Direct
0.0000 0.0000 0.0000
0.0000 0.0000 0.5000
0.5000 0.5000 0.2814
0.5000 0.5000 0.7186
```

Values from the calculation:
offset from the most stable computed form: 1090 meV/atom
density of states at the Fermi level: 4.0 states/eV/f.u.
formation energy without anion corrections: 3.399 eV per formula unit
crystal system: orthorhombic

=====

No. 8
Computed, not measured: a geometry-optimized P2RuBr structure at the PBE level of DFT.

```
P2RuBr
1.0
-1.4543 2.3322 5.1824
1.4543 -2.3322 5.1824
1.4543 2.3322 -5.1824
P Ru Br
2 1 1
Direct
0.1901 0.1901 0.0000
0.8099 0.8099 0.0000
0.0000 0.5000 0.5000
0.5000 0.0000 0.5000
```

Values from the calculation:
offset from the most stable computed form: 590 meV/atom
density of states at the Fermi level: 2.0 states/eV/f.u.
formation energy without anion corrections: 1.960 eV per formula unit
crystal system: orthorhombic

=====

No. 9
Computed, not measured: a geometry-optimized P2RuBr structure at the PBE level of DFT.

```
P2RuBr
1.0
3.0163 0.0000 0.0000
0.0000 3.2060 0.0000
0.0000 0.0000 7.6674
P Ru Br
2 1 1
Direct
0.0000 0.0000 0.0000
0.5000 0.5000 0.1576
0.5000 0.5000 0.8480
0.0000 0.0000 0.5827
```

Values from the calculation:
offset from the most stable computed form: 323 meV/atom
density of states at the Fermi level: 1.4 states/eV/f.u.
formation energy without anion corrections: 0.892 eV per formula unit
crystal system: orthorhombic

=====

No. 10
Computed, not measured: a geometry-optimized P2RuBr structure at the PBE level of DFT.

```
P2RuBr
1.0
1.7224 0.9944 7.0828
-1.7224 0.9944 7.0828
0.0000 -1.9889 7.0828
P Ru Br
2 1 1
Direct
0.2290 0.2290 0.2290
0.7710 0.7710 0.7710
0.5000 0.5000 0.5000
0.0000 0.0000 0.0000
```

Values from the calculation:
offset from the most stable computed form: 238 meV/atom
density of states at the Fermi level: 2.9 states/eV/f.u.
formation energy without anion corrections: 0.551 eV per formula unit
crystal system: trigonal

=====

No. 11
Computed, not measured: a geometry-optimized PRuBr2 structure at the PBE level of DFT.

```
PRuBr2
1.0
3.2756 -1.6367 0.0000
3.2756 1.6367 0.0000
-1.0251 0.0000 8.8569
P Ru Br
1 1 2
Direct
0.0000 0.0000 0.0000
0.3258 0.3258 0.1230
0.6729 0.6729 0.3243
0.9570 0.9570 0.7492
```

Values from the calculation:
offset from the most stable computed form: 0 meV/atom
density of states at the Fermi level: 3.2 states/eV/f.u.
formation energy without anion corrections: -0.959 eV per formula unit
crystal system: monoclinic

=====

No. 12
Computed, not measured: a geometry-optimized PRuBr2 structure at the PBE level of DFT.

```
PRuBr2
1.0
-1.7776 2.5556 6.0288
1.7776 -2.5556 6.0288
1.7776 2.5556 -6.0288
P Ru Br
1 1 2
Direct
0.0000 0.0000 0.0000
0.1060 0.6060 0.5000
0.2746 0.2746 0.0000
0.5791 0.0791 0.5000
```

Values from the calculation:
offset from the most stable computed form: 474 meV/atom
density of states at the Fermi level: 3.6 states/eV/f.u.
formation energy without anion corrections: 0.936 eV per formula unit
crystal system: orthorhombic